The following is a PBE calculation of SmZn3P3 after structural relaxation, from Alexandria.

abc: 4.031 4.031 19.983
angles: 90.00 90.00 120.00
Atoms (fractional coordinates):
Sm1 0.000 0.000 0.500
Sm2 0.000 0.000 0.000
Zn1 0.667 0.333 0.250
Zn2 0.333 0.667 0.750
Zn3 0.667 0.333 0.629
Zn4 0.333 0.667 0.129
Zn5 0.333 0.667 0.371
Zn6 0.667 0.333 0.871
P1 0.667 0.333 0.750
P2 0.333 0.667 0.250
P3 0.333 0.667 0.586
P4 0.667 0.333 0.086
P5 0.667 0.333 0.414
P6 0.333 0.667 0.914

## Properties
Calculated formation energy: -13.8 kcal/mol of atoms
Space-group type: P6_3/mmc, No. 194


The following is a PBE calculation of Pm2Y2Ir3 after structural relaxation, from Alexandria.

abc: 4.862 4.859 8.570
angles: 89.99 106.49 120.05
Atoms (fractional coordinates):
Pm1 0.249 0.124 0.373
Pm2 0.751 0.876 0.627
Y1 0.749 0.375 0.123
Y2 0.251 0.625 0.877
Ir1 0.000 0.000 0.000
Ir2 0.502 0.251 0.755
Ir3 0.498 0.749 0.245

## Properties
Calculated formation energy: -16.7 kcal/mol of atoms
Space-group type: R-3m, No. 166


The following is a PBE calculation of GdScGaAu after structural relaxation, from Alexandria.

abc: 4.989 4.989 4.989
angles: 60.00 60.00 60.00
Each line ends with the local moment (μB).
Atoms (fractional coordinates):
Sc1 0.500 0.500 0.500  0.06
Gd1 0.000 0.000 0.000  7.02
Au1 0.750 0.750 0.750  0.01
Ga1 0.250 0.250 0.250  -0.01

## Properties
Calculated formation energy: -15.2 kcal/mol of atoms
Space-group type: F-43m, No. 216


The following is a PBE calculation of Li2TlPt2 after structural relaxation, from Alexandria.

abc: 3.691 3.691 6.924
angles: 74.54 74.54 90.00
Atoms (fractional coordinates):
Tl1 0.000 0.000 0.000
Pt1 0.393 0.393 0.213
Pt2 0.607 0.607 0.787
Li1 0.750 0.250 0.500
Li2 0.250 0.750 0.500

## Properties
Calculated formation energy: -2.5 kcal/mol of atoms
Space-group type: I4/mmm, No. 139


The following is a PBE calculation of KMoAu2 after structural relaxation, from Alexandria.

abc: 5.894 5.894 5.281
angles: 89.68 89.68 27.05
Each line ends with the local moment (μB).
Atoms (fractional coordinates):
Au1 0.966 0.966 0.126  0.04
Au2 0.770 0.770 0.624  0.03
K1 0.520 0.520 0.626  0.00
Mo1 0.244 0.244 0.124  1.16

## Properties
Calculated formation energy: 10.3 kcal/mol of atoms
Space-group type: Cm, No. 8


The following is a PBE calculation of NaZr3Ti after structural relaxation, from Alexandria.

abc: 5.094 5.094 5.094
angles: 90.00 90.00 90.00
Atoms (fractional coordinates):
Na1 0.500 0.500 0.500
Zr1 0.000 0.500 0.000
Zr2 0.000 0.000 0.500
Zr3 0.500 0.000 0.000
Ti1 0.000 0.000 0.000

## Properties
Calculated formation energy: 19.6 kcal/mol of atoms
Space-group type: Pm-3m, No. 221


The following is a PBE calculation of ZrBiF2 after structural relaxation, from Alexandria.

abc: 4.484 4.484 7.842
angles: 73.39 73.39 90.00
Atoms (fractional coordinates):
Bi1 0.000 0.000 0.000
Bi2 0.750 0.250 0.500
Zr1 0.500 0.500 0.000
Zr2 0.250 0.750 0.500
F1 0.449 0.125 0.250
F2 0.301 0.625 0.250
F3 0.375 0.551 0.750
F4 0.875 0.699 0.750

## Properties
Space-group type: I-42d, No. 122
ΔE_f (raw): -1.84 eV per atom


The following is a PBE calculation of TbDy6Sc3 after structural relaxation, from Alexandria.

abc: 6.220 11.210 11.210
angles: 130.52 90.00 90.00
Atoms (fractional coordinates):
Tb1 0.012 0.158 0.842
Tb2 0.512 0.842 0.158
Dy1 0.083 0.736 0.623
Dy2 0.583 0.623 0.736
Dy3 0.325 0.459 0.896
Dy4 0.825 0.896 0.459
Dy5 0.289 0.985 0.015
Dy6 0.793 0.303 0.697
Dy7 0.293 0.697 0.303
Dy8 0.789 0.015 0.985
Dy9 0.325 0.104 0.541
Dy10 0.825 0.541 0.104
Dy11 0.083 0.377 0.264
Dy12 0.583 0.264 0.377
Sc1 0.485 0.958 0.706
Sc2 0.985 0.706 0.958
Sc3 0.104 0.417 0.583
Sc4 0.604 0.583 0.417
Sc5 0.985 0.042 0.294
Sc6 0.485 0.294 0.042

## Properties
Calculated formation energy: 3.0 kcal/mol of atoms
Space-group type: Cmc2_1, No. 36


The following is a PBE calculation of Li2TcSb after structural relaxation, from Alexandria.

abc: 9.596 9.596 9.596
angles: 17.64 17.64 17.64
Each line ends with the local moment (μB).
Atoms (fractional coordinates):
Li1 0.004 0.004 0.004  -0.01
Li2 0.496 0.496 0.496  -0.01
Sb1 0.250 0.250 0.250  0.07
Tc1 0.750 0.750 0.750  0.65

## Properties
Space-group type: R-3m, No. 166
ΔE_f (raw): 0.37 eV per atom


The following is a PBE calculation of Fe2AgRuRh after structural relaxation, from Alexandria.

abc: 4.489 4.768 4.489
angles: 90.00 90.00 90.00
Each line ends with the local moment (μB).
Atoms (fractional coordinates):
Ru1 0.000 0.500 0.000  1.79
Rh1 0.500 0.500 0.500  0.67
Fe1 0.000 0.000 0.500  -0.08
Fe2 0.500 0.000 0.000  0.06
Ag1 0.000 0.000 0.000  0.04

## Properties
Calculated formation energy: 57.7 kcal/mol of atoms
Space-group type: P4/mmm, No. 123


The following is a PBE calculation of ReBiBS2 after structural relaxation, from Alexandria.

abc: 5.309 5.443 5.309
angles: 90.00 90.00 90.00
Each line ends with the local moment (μB).
Atoms (fractional coordinates):
Re1 0.000 0.500 0.000  3.44
S1 0.000 0.000 0.500  0.27
S2 0.500 0.000 0.000  0.24
B1 0.500 0.500 0.500  -0.10
Bi1 0.000 0.000 0.000  -0.08

## Properties
Space-group type: P4/mmm, No. 123
ΔE_f (raw): 2.42 eV per atom


The following is a PBE calculation of NiAs2P after structural relaxation, from Alexandria.

abc: 2.766 2.766 8.398
angles: 90.00 90.00 90.00
Atoms (fractional coordinates):
Ni1 0.500 0.500 0.000
As1 0.000 0.000 0.800
As2 0.000 0.000 0.200
P1 0.500 0.500 0.500

## Properties
Calculated formation energy: 6.5 kcal/mol of atoms
Space-group type: P4/mmm, No. 123


The following is a PBE calculation of TbHRh after structural relaxation, from Alexandria.

abc: 3.618 4.791 5.509
angles: 90.00 109.46 90.00
Atoms (fractional coordinates):
Rh1 0.409 0.250 0.819
Rh2 0.591 0.750 0.181
Tb1 0.139 0.250 0.279
Tb2 0.861 0.750 0.721
H1 0.899 0.250 0.800
H2 0.101 0.750 0.200

## Properties
Space-group type: P2_1/m, No. 11
Raw total energy: -17.4 eV per formula unit


The following is a PBE calculation of Ca3Pu3HfN8 after structural relaxation, from Alexandria.

abc: 6.819 6.819 6.897
angles: 119.63 90.00 120.00
Each line ends with the local moment (μB).
Atoms (fractional coordinates):
Ca1 0.000 0.000 0.000  0.00
Ca2 0.000 0.500 0.000  0.00
Ca3 0.500 0.500 0.000  0.00
Pu1 0.500 0.000 0.500  3.87
Pu2 0.500 0.500 0.500  3.87
Pu3 0.000 0.500 0.500  3.87
Hf1 0.000 0.000 0.500  0.00
N1 0.260 0.520 0.280  -0.17
N2 0.740 0.480 0.720  -0.17
N3 0.773 0.546 0.304  -0.19
N4 0.227 0.454 0.696  -0.19
N5 0.773 0.031 0.304  -0.19
N6 0.227 0.969 0.696  -0.19
N7 0.258 0.031 0.304  -0.19
N8 0.742 0.969 0.696  -0.19

## Properties
Space-group type: R-3m, No. 166
ΔE_f (raw): -1.17 eV per atom


The following is a PBE calculation of TiOsRu2 after structural relaxation, from Alexandria.

abc: 3.857 3.868 3.868
angles: 90.00 90.00 90.00
Atoms (fractional coordinates):
Ru1 0.000 0.000 0.500
Ru2 0.000 0.500 0.000
Os1 0.500 0.000 0.000
Ti1 0.500 0.500 0.500

## Properties
Calculated formation energy: -4.1 kcal/mol of atoms
Space-group type: P4/mmm, No. 123


The following is a PBE calculation of PrTc2B2 after structural relaxation, from Alexandria.

abc: 3.994 3.994 5.882
angles: 109.85 109.85 90.00
Atoms (fractional coordinates):
Pr1 0.000 0.000 0.000
Tc1 0.750 0.250 0.500
Tc2 0.250 0.750 0.500
B1 0.674 0.674 0.348
B2 0.326 0.326 0.652

## Properties
Calculated formation energy: -5.3 kcal/mol of atoms
Space-group type: I4/mmm, No. 139


The following is a PBE calculation of YGe3N after structural relaxation, from Alexandria.

abc: 5.534 5.534 5.534
angles: 90.00 90.00 90.00
Each line ends with the local moment (μB).
Atoms (fractional coordinates):
Y1 0.000 0.000 0.000  0.06
Ge1 0.000 0.500 0.000  0.04
Ge2 0.000 0.000 0.500  0.03
Ge3 0.500 0.000 0.000  0.01
N1 0.500 0.500 0.500  1.80

## Properties
Space-group type: Pm-3m, No. 221
ΔE_f (raw): 1.72 eV per atom


The following is a PBE calculation of LiLa3Co after structural relaxation, from Alexandria.

abc: 5.274 5.274 5.274
angles: 90.00 90.00 90.00
Each line ends with the local moment (μB).
Atoms (fractional coordinates):
Li1 0.000 0.000 0.000  0.00
La1 0.000 0.500 0.000  -0.05
La2 0.000 0.000 0.500  -0.05
La3 0.500 0.000 0.000  -0.05
Co1 0.500 0.500 0.500  1.78

## Properties
Calculated formation energy: 19.9 kcal/mol of atoms
Space-group type: Pm-3m, No. 221


The following is a PBE calculation of AcY3Cu after structural relaxation, from Alexandria.

abc: 5.477 5.477 5.477
angles: 90.00 90.00 90.00
Atoms (fractional coordinates):
Y1 0.000 0.500 0.000
Y2 0.000 0.000 0.500
Y3 0.500 0.000 0.000
Ac1 0.500 0.500 0.500
Cu1 0.000 0.000 0.000

## Properties
Calculated formation energy: 0.4 kcal/mol of atoms
Space-group type: Pm-3m, No. 221


The following is a PBE calculation of Ca3Ni after structural relaxation, from Alexandria.

abc: 6.568 7.600 9.669
angles: 90.00 90.00 90.00
Atoms (fractional coordinates):
Ca1 0.148 0.044 0.750
Ca2 0.648 0.456 0.250
Ca3 0.352 0.544 0.750
Ca4 0.852 0.956 0.250
Ca5 0.665 0.170 0.932
Ca6 0.165 0.330 0.068
Ca7 0.835 0.670 0.568
Ca8 0.335 0.830 0.432
Ca9 0.335 0.830 0.068
Ca10 0.835 0.670 0.932
Ca11 0.165 0.330 0.432
Ca12 0.665 0.170 0.568
Ni1 0.546 0.877 0.750
Ni2 0.046 0.623 0.250
Ni3 0.954 0.377 0.750
Ni4 0.454 0.123 0.250

## Properties
Calculated formation energy: -1.9 kcal/mol of atoms
Space-group type: Pnma, No. 62


The following is a PBE calculation of BaHgOs2O8 after structural relaxation, from Alexandria.

abc: 6.476 6.476 9.347
angles: 90.00 90.00 120.00
Each line ends with the local moment (μB).
Atoms (fractional coordinates):
Ba1 0.000 0.000 0.000  0.03
Hg1 0.000 0.000 0.500  0.00
Os1 0.667 0.333 0.141  0.54
Os2 0.333 0.667 0.859  0.54
O1 0.333 0.667 0.048  0.12
O2 0.364 0.182 0.195  0.08
O3 0.818 0.182 0.195  0.08
O4 0.667 0.333 0.952  0.12
O5 0.182 0.818 0.805  0.08
O6 0.636 0.818 0.805  0.08
O7 0.182 0.364 0.805  0.08
O8 0.818 0.636 0.195  0.08

## Properties
Space-group type: P-3m1, No. 164
ΔE_f (raw): -1.18 eV per atom


The following is a PBE calculation of TiNbCo after structural relaxation, from Alexandria.

abc: 5.290 6.119 6.119
angles: 89.82 73.28 73.28
Atoms (fractional coordinates):
Nb1 0.314 0.671 0.921
Nb2 0.687 0.829 0.579
Nb3 0.686 0.329 0.079
Nb4 0.313 0.171 0.421
Co1 0.008 0.494 0.744
Co2 0.008 0.994 0.244
Co3 0.992 0.506 0.256
Co4 0.992 0.006 0.756
Ti1 0.691 0.327 0.577
Ti2 0.691 0.827 0.077
Ti3 0.309 0.673 0.423
Ti4 0.309 0.173 0.923

## Properties
Calculated formation energy: -4.0 kcal/mol of atoms
Space-group type: P2_1/m, No. 11


The following is a PBE calculation of Ba2Cu after structural relaxation, from Alexandria.

abc: 4.720 4.720 7.570
angles: 90.00 90.00 120.00
Atoms (fractional coordinates):
Ba1 0.667 0.333 0.768
Ba2 0.333 0.667 0.232
Cu1 0.000 0.000 0.000

## Properties
Calculated formation energy: 0.8 kcal/mol of atoms
Space-group type: P-3m1, No. 164


The following is a PBE calculation of BeBiRh2 after structural relaxation, from Alexandria.

abc: 4.528 4.528 8.035
angles: 73.63 73.63 90.00
Atoms (fractional coordinates):
Be1 0.500 0.500 0.000
Be2 0.250 0.750 0.500
Rh1 0.515 0.125 0.250
Rh2 0.235 0.625 0.250
Rh3 0.375 0.485 0.750
Rh4 0.875 0.765 0.750
Bi1 0.000 0.000 0.000
Bi2 0.750 0.250 0.500

## Properties
Calculated formation energy: 5.3 kcal/mol of atoms
Space-group type: I-42d, No. 122


The following is a PBE calculation of Tb2PrPuSe4 after structural relaxation, from Alexandria.

abc: 4.126 7.194 7.212
angles: 109.10 90.00 90.00
Each line ends with the local moment (μB).
Atoms (fractional coordinates):
Tb1 0.500 0.000 0.500  -0.02
Tb2 0.000 0.500 0.500  0.05
Pr1 0.000 0.000 0.000  0.04
Pu1 0.500 0.500 0.000  5.49
Se1 0.500 0.258 0.261  -0.01
Se2 0.500 0.742 0.739  -0.01
Se3 0.000 0.252 0.743  -0.03
Se4 0.000 0.748 0.257  -0.03

## Properties
Space-group type: P2/m, No. 10
ΔE_f (raw): -1.75 eV per atom